--- P ---
CdHgPb2: relaxed, GGA-PBEsol.

```
CdHgPb2
1.0
3.364 0.000 0.000
0.000 5.030 0.000
-1.558 0.000 6.146
Cd Hg Pb
1 1 2
direct
0.000 0.000 0.000 Cd
0.141 0.500 0.265 Hg
0.389 0.500 0.786 Pb
0.749 0.000 0.478 Pb
```

volume: 104.0 Å³ per cell
total magnetization: 0.0 Bohr magnetons per cell
space-group type: Pm, No. 6

***

--- Q ---
CdHgPb2: relaxed, GGA-PBEsol.

```
CdHgPb2
1.0
3.653 0.000 0.000
0.000 5.226 0.000
0.000 0.000 5.506
Cd Hg Pb
1 1 2
direct
0.000 0.000 0.000 Cd
0.500 0.000 0.500 Hg
0.000 0.500 0.500 Pb
0.500 0.500 0.000 Pb
```

volume: 105.1 Å³ per cell
total magnetization: 0.0 Bohr magnetons per cell
space-group type: Pmmm, No. 47

***

--- R ---
CdHgPb2: relaxed, GGA-PBEsol.

```
CdHgPb2
1.0
4.597 0.000 0.000
0.000 4.597 0.000
0.000 0.000 9.822
Cd Hg Pb
2 2 4
direct
0.000 0.000 0.000 Cd
0.500 0.500 0.500 Cd
0.000 0.500 0.250 Hg
0.500 0.000 0.750 Hg
0.000 0.000 0.500 Pb
0.000 0.500 0.750 Pb
0.500 0.000 0.250 Pb
0.500 0.500 0.000 Pb
```

volume: 207.5 Å³ per cell
total magnetization: 0.0 Bohr magnetons per cell
space-group type: I-4m2, No. 119

***

Verdict on stability: P comes out on top.

***

--- P ---
CdHgPb2: relaxed, GGA-PBEsol.

```
CdHgPb2
1.0
3.681 0.000 0.000
0.000 3.681 0.000
0.000 0.000 7.628
Cd Hg Pb
1 1 2
direct
0.000 0.000 0.000 Cd
0.500 0.500 0.202 Hg
0.000 0.000 0.450 Pb
0.500 0.500 0.751 Pb
```

volume: 103.3 Å³ per cell
total magnetization: 0.0 Bohr magnetons per cell
space-group type: P4mm, No. 99

***

--- Q ---
CdHgPb2: relaxed, GGA-PBEsol.

```
CdHgPb2
1.0
11.263 0.000 0.000
0.000 3.401 0.000
-1.614 0.000 5.397
Cd Hg Pb
2 2 4
direct
0.000 0.000 0.000 Cd
0.500 0.500 0.000 Cd
0.221 0.500 0.271 Hg
0.721 0.000 0.271 Hg
0.248 0.000 0.792 Pb
0.476 0.000 0.483 Pb
0.748 0.500 0.792 Pb
0.976 0.500 0.483 Pb
```

volume: 206.8 Å³ per cell
total magnetization: 0.0 Bohr magnetons per cell
space-group type: Cm, No. 8

***

Verdict on stability: P comes out on top.

***

--- P ---
Cd2Hg2Pb: relaxed, GGA-PBEsol.

```
Cd2Hg2Pb
1.0
4.244 0.000 0.000
0.000 4.244 0.000
0.000 0.000 13.531
Cd Hg Pb
4 4 2
direct
0.000 0.500 0.250 Cd
0.000 0.500 0.750 Cd
0.500 0.000 0.250 Cd
0.500 0.000 0.750 Cd
0.000 0.000 0.103 Hg
0.000 0.000 0.897 Hg
0.500 0.500 0.397 Hg
0.500 0.500 0.603 Hg
0.000 0.000 0.500 Pb
0.500 0.500 0.000 Pb
```

volume: 243.7 Å³ per cell
total magnetization: 0.0 Bohr magnetons per cell
space-group type: I4/mmm, No. 139

***

--- Q ---
Cd2Hg2Pb: relaxed, GGA-PBEsol.

```
Cd2Hg2Pb
1.0
8.397 0.000 0.000
0.000 8.397 0.000
0.000 0.000 3.355
Cd Hg Pb
4 4 2
direct
0.166 0.334 0.000 Cd
0.334 0.834 0.000 Cd
0.666 0.166 0.000 Cd
0.834 0.666 0.000 Cd
0.131 0.631 0.500 Hg
0.369 0.131 0.500 Hg
0.631 0.869 0.500 Hg
0.869 0.369 0.500 Hg
0.000 0.000 0.500 Pb
0.500 0.500 0.500 Pb
```

volume: 236.6 Å³ per cell
total magnetization: 0.0 Bohr magnetons per cell
space-group type: P4/mbm, No. 127

***

Verdict on stability: Q comes out on top.

***

--- P ---
CdHgPt: relaxed, GGA-PBEsol.

```
CdHgPt
1.0
4.632 0.000 0.000
-2.316 4.011 0.000
0.000 0.000 2.922
Cd Hg Pt
1 1 1
direct
0.000 0.000 0.000 Cd
0.333 0.667 0.378 Hg
0.667 0.333 0.619 Pt
```

volume: 54.3 Å³ per cell
total magnetization: 0.0 Bohr magnetons per cell
space-group type: P3m1, No. 156

***

--- Q ---
CdHgPt: relaxed, GGA-PBEsol.

```
CdHgPt
1.0
2.978 0.000 0.000
0.000 2.978 0.000
0.000 0.000 12.359
Cd Hg Pt
2 2 2
direct
0.000 0.000 0.000 Cd
0.500 0.500 0.500 Cd
0.000 0.000 0.688 Hg
0.500 0.500 0.188 Hg
0.000 0.000 0.349 Pt
0.500 0.500 0.849 Pt
```

volume: 109.6 Å³ per cell
total magnetization: 0.0 Bohr magnetons per cell
space-group type: I4mm, No. 107

***

Verdict on stability: Q comes out on top.

***

--- P ---
CdRe2Hg: relaxed, GGA-PBEsol.

```
CdRe2Hg
1.0
2.807 0.000 0.000
0.000 4.462 0.000
0.000 0.000 5.502
Cd Re Hg
1 2 1
direct
0.000 0.000 0.000 Cd
0.500 0.500 0.217 Re
0.500 0.500 0.783 Re
0.000 0.000 0.500 Hg
```

volume: 68.9 Å³ per cell
total magnetization: 0.0 Bohr magnetons per cell
space-group type: Pmmm, No. 47

***

--- Q ---
CdRe2Hg: relaxed, GGA-PBEsol.

```
CdRe2Hg
1.0
9.181 0.000 0.000
0.000 2.820 0.000
-0.671 0.000 5.191
Cd Re Hg
2 4 2
direct
0.000 0.000 0.000 Cd
0.500 0.500 0.000 Cd
0.252 0.500 0.296 Re
0.494 0.000 0.472 Re
0.752 0.000 0.296 Re
0.994 0.500 0.472 Re
0.245 0.000 0.772 Hg
0.745 0.500 0.772 Hg
```

volume: 134.4 Å³ per cell
total magnetization: 0.0 Bohr magnetons per cell
space-group type: Cm, No. 8

***

Verdict on stability: Q comes out on top.

***

--- P ---
CdRe2Hg: relaxed, GGA-PBEsol.

```
CdRe2Hg
1.0
3.841 0.000 0.000
0.000 3.841 0.000
0.000 0.000 9.146
Cd Re Hg
2 4 2
direct
0.000 0.000 0.000 Cd
0.500 0.500 0.500 Cd
0.000 0.500 0.250 Re
0.000 0.500 0.750 Re
0.500 0.000 0.250 Re
0.500 0.000 0.750 Re
0.000 0.000 0.500 Hg
0.500 0.500 0.000 Hg
```

volume: 134.9 Å³ per cell
total magnetization: 0.0 Bohr magnetons per cell
space-group type: I4/mmm, No. 139

***

--- Q ---
CdRe2Hg: relaxed, GGA-PBEsol.

```
CdRe2Hg
1.0
2.836 0.000 0.000
-1.418 2.456 0.000
0.000 0.000 28.657
Cd Re Hg
3 6 3
direct
0.000 0.000 0.000 Cd
0.333 0.667 0.667 Cd
0.667 0.333 0.333 Cd
0.000 0.000 0.250 Re
0.000 0.000 0.750 Re
0.333 0.667 0.417 Re
0.333 0.667 0.917 Re
0.667 0.333 0.083 Re
0.667 0.333 0.583 Re
0.000 0.000 0.500 Hg
0.333 0.667 0.167 Hg
0.667 0.333 0.833 Hg
```

volume: 199.6 Å³ per cell
total magnetization: 0.0 Bohr magnetons per cell
space-group type: R-3m, No. 166

***

--- R ---
CdRe2Hg: relaxed, GGA-PBEsol.

```
CdRe2Hg
1.0
3.200 0.000 0.000
0.000 3.200 0.000
0.000 0.000 6.420
Cd Re Hg
1 2 1
direct
0.000 0.000 0.000 Cd
0.500 0.500 0.252 Re
0.500 0.500 0.748 Re
0.000 0.000 0.500 Hg
```

volume: 65.8 Å³ per cell
total magnetization: 0.0 Bohr magnetons per cell
space-group type: P4/mmm, No. 123

***

Verdict on stability: Q comes out on top.

***

--- P ---
CdHgSb2: relaxed, GGA-PBEsol.

```
CdHgSb2
1.0
3.303 0.000 0.000
0.000 4.484 0.000
0.000 0.000 6.723
Cd Hg Sb
1 1 2
direct
0.000 0.000 0.000 Cd
0.500 0.500 0.257 Hg
0.000 0.000 0.453 Sb
0.500 0.500 0.803 Sb
```

volume: 99.6 Å³ per cell
total magnetization: 0.0 Bohr magnetons per cell
space-group type: Pmm2, No. 25

***

--- Q ---
CdHgSb2: relaxed, GGA-PBEsol.

```
CdHgSb2
1.0
7.316 0.000 0.000
0.000 7.316 0.000
0.000 0.000 7.316
Cd Hg Sb
4 4 8
direct
0.000 0.000 0.000 Cd
0.000 0.500 0.500 Cd
0.500 0.000 0.500 Cd
0.500 0.500 0.000 Cd
0.000 0.000 0.500 Hg
0.000 0.500 0.000 Hg
0.500 0.000 0.000 Hg
0.500 0.500 0.500 Hg
0.250 0.250 0.250 Sb
0.250 0.250 0.750 Sb
0.250 0.750 0.250 Sb
0.250 0.750 0.750 Sb
0.750 0.250 0.250 Sb
0.750 0.250 0.750 Sb
0.750 0.750 0.250 Sb
0.750 0.750 0.750 Sb
```

volume: 391.6 Å³ per cell
total magnetization: 0.0 Bohr magnetons per cell
space-group type: Fm-3m, No. 225

***

Verdict on stability: P comes out on top.

***

--- P ---
Cd2HgSb: relaxed, GGA-PBEsol.

```
Cd2HgSb
1.0
3.177 0.000 0.000
0.000 5.244 0.000
-1.209 0.000 5.802
Cd Hg Sb
2 1 1
direct
0.000 0.000 0.000 Cd
0.479 0.500 0.497 Cd
0.499 0.500 0.999 Hg
0.983 0.000 0.499 Sb
```

volume: 96.7 Å³ per cell
total magnetization: 0.0 Bohr magnetons per cell
space-group type: Pm, No. 6

***

--- Q ---
Cd2HgSb: relaxed, GGA-PBEsol.

```
Cd2HgSb
1.0
7.228 0.000 0.000
0.000 7.228 0.000
0.000 0.000 7.228
Cd Hg Sb
8 4 4
direct
0.250 0.250 0.250 Cd
0.250 0.250 0.750 Cd
0.250 0.750 0.250 Cd
0.250 0.750 0.750 Cd
0.750 0.250 0.250 Cd
0.750 0.250 0.750 Cd
0.750 0.750 0.250 Cd
0.750 0.750 0.750 Cd
0.000 0.000 0.000 Hg
0.000 0.500 0.500 Hg
0.500 0.000 0.500 Hg
0.500 0.500 0.000 Hg
0.000 0.000 0.500 Sb
0.000 0.500 0.000 Sb
0.500 0.000 0.000 Sb
0.500 0.500 0.500 Sb
```

volume: 377.7 Å³ per cell
total magnetization: 0.0 Bohr magnetons per cell
space-group type: Fm-3m, No. 225

***

Verdict on stability: P comes out on top.

***

--- P ---
Cd2HgSb: relaxed, GGA-PBEsol.

```
Cd2HgSb
1.0
4.402 0.000 0.000
0.000 4.702 0.000
0.000 0.000 8.905
Cd Hg Sb
4 2 2
direct
0.000 0.000 0.000 Cd
0.000 0.500 0.230 Cd
0.500 0.000 0.230 Cd
0.500 0.500 0.000 Cd
0.000 0.500 0.764 Hg
0.500 0.000 0.764 Hg
0.000 0.000 0.490 Sb
0.500 0.500 0.490 Sb
```

volume: 184.3 Å³ per cell
total magnetization: 0.0 Bohr magnetons per cell
space-group type: Cmm2, No. 35

***

--- Q ---
Cd2HgSb: relaxed, GGA-PBEsol.

```
Cd2HgSb
1.0
8.519 0.000 0.000
0.000 3.505 0.000
-1.381 0.000 6.472
Cd Hg Sb
4 2 2
direct
0.247 0.000 0.237 Cd
0.253 0.500 0.763 Cd
0.747 0.500 0.237 Cd
0.753 0.000 0.763 Cd
0.000 0.500 0.000 Hg
0.500 0.000 0.000 Hg
0.000 0.000 0.500 Sb
0.500 0.500 0.500 Sb
```

volume: 193.2 Å³ per cell
total magnetization: 0.0 Bohr magnetons per cell
space-group type: C2/m, No. 12

***

Verdict on stability: Q comes out on top.

***

--- P ---
Sc2CdHg: relaxed, GGA-PBEsol.

```
Sc2CdHg
1.0
6.936 0.000 0.000
0.000 6.936 0.000
0.000 0.000 6.936
Sc Cd Hg
8 4 4
direct
0.250 0.250 0.250 Sc
0.250 0.250 0.750 Sc
0.250 0.750 0.250 Sc
0.250 0.750 0.750 Sc
0.750 0.250 0.250 Sc
0.750 0.250 0.750 Sc
0.750 0.750 0.250 Sc
0.750 0.750 0.750 Sc
0.000 0.000 0.000 Cd
0.000 0.500 0.500 Cd
0.500 0.000 0.500 Cd
0.500 0.500 0.000 Cd
0.000 0.000 0.500 Hg
0.000 0.500 0.000 Hg
0.500 0.000 0.000 Hg
0.500 0.500 0.500 Hg
```

volume: 333.7 Å³ per cell
total magnetization: 0.0 Bohr magnetons per cell
space-group type: Fm-3m, No. 225

***

--- Q ---
Sc2CdHg: relaxed, GGA-PBEsol.

```
Sc2CdHg
1.0
6.913 0.000 0.000
0.000 6.913 0.000
0.000 0.000 6.913
Sc Cd Hg
8 4 4
direct
0.000 0.000 0.000 Sc
0.000 0.500 0.500 Sc
0.250 0.250 0.250 Sc
0.250 0.750 0.750 Sc
0.500 0.000 0.500 Sc
0.500 0.500 0.000 Sc
0.750 0.250 0.750 Sc
0.750 0.750 0.250 Sc
0.000 0.000 0.500 Cd
0.000 0.500 0.000 Cd
0.500 0.000 0.000 Cd
0.500 0.500 0.500 Cd
0.250 0.250 0.750 Hg
0.250 0.750 0.250 Hg
0.750 0.250 0.250 Hg
0.750 0.750 0.750 Hg
```

volume: 330.4 Å³ per cell
total magnetization: 7.4 Bohr magnetons per cell
space-group type: F-43m, No. 216

***

Verdict on stability: P comes out on top.

***

--- P ---
Sc2CdHg: relaxed, GGA-PBEsol.

```
Sc2CdHg
1.0
3.347 0.000 0.000
-1.674 2.899 0.000
0.000 0.000 27.522
Sc Cd Hg
6 3 3
direct
0.000 0.000 0.248 Sc
0.000 0.000 0.752 Sc
0.333 0.667 0.418 Sc
0.333 0.667 0.915 Sc
0.667 0.333 0.085 Sc
0.667 0.333 0.582 Sc
0.000 0.000 0.000 Cd
0.333 0.667 0.667 Cd
0.667 0.333 0.333 Cd
0.000 0.000 0.500 Hg
0.333 0.667 0.167 Hg
0.667 0.333 0.833 Hg
```

volume: 267.1 Å³ per cell
total magnetization: 0.0 Bohr magnetons per cell
space-group type: R-3m, No. 166

***

--- Q ---
Sc2CdHg: relaxed, GGA-PBEsol.

```
Sc2CdHg
1.0
3.503 0.000 0.000
0.000 4.881 0.000
0.000 0.000 4.882
Sc Cd Hg
2 1 1
direct
0.000 0.000 0.000 Sc
0.000 0.500 0.497 Sc
0.500 0.500 0.997 Cd
0.500 0.000 0.501 Hg
```

volume: 83.5 Å³ per cell
total magnetization: 0.0 Bohr magnetons per cell
space-group type: Pmm2, No. 25

***

--- R ---
Sc2CdHg: relaxed, GGA-PBEsol.

```
Sc2CdHg
1.0
3.274 0.000 0.000
-1.637 2.835 0.000
0.000 0.000 28.890
Sc Cd Hg
6 3 3
direct
0.000 0.000 0.000 Sc
0.000 0.000 0.245 Sc
0.333 0.667 0.667 Sc
0.333 0.667 0.911 Sc
0.667 0.333 0.333 Sc
0.667 0.333 0.578 Sc
0.000 0.000 0.495 Cd
0.333 0.667 0.161 Cd
0.667 0.333 0.828 Cd
0.000 0.000 0.746 Hg
0.333 0.667 0.413 Hg
0.667 0.333 0.079 Hg
```

volume: 268.1 Å³ per cell
total magnetization: 3.4 Bohr magnetons per cell
space-group type: R3m, No. 160

***

Verdict on stability: Q comes out on top.

***

--- P ---
Cd2HgSe: relaxed, GGA-PBEsol.

```
Cd2HgSe
1.0
5.193 0.000 0.000
0.000 5.223 0.000
0.000 0.000 6.373
Cd Hg Se
4 2 2
direct
0.000 0.000 0.244 Cd
0.000 0.000 0.756 Cd
0.500 0.500 0.244 Cd
0.500 0.500 0.756 Cd
0.000 0.500 0.500 Hg
0.500 0.000 0.500 Hg
0.000 0.500 0.000 Se
0.500 0.000 0.000 Se
```

volume: 172.9 Å³ per cell
total magnetization: 0.0 Bohr magnetons per cell
space-group type: Cmmm, No. 65

***

--- Q ---
Cd2HgSe: relaxed, GGA-PBEsol.

```
Cd2HgSe
1.0
3.748 0.000 0.000
0.000 3.983 0.000
0.000 0.000 12.375
Cd Hg Se
4 2 2
direct
0.000 0.000 0.000 Cd
0.000 0.500 0.246 Cd
0.500 0.000 0.746 Cd
0.500 0.500 0.500 Cd
0.000 0.500 0.824 Hg
0.500 0.000 0.324 Hg
0.000 0.000 0.570 Se
0.500 0.500 0.070 Se
```

volume: 184.7 Å³ per cell
total magnetization: 0.0 Bohr magnetons per cell
space-group type: Imm2, No. 44

***

Verdict on stability: Q comes out on top.

***

--- P ---
CdSnHg2: relaxed, GGA-PBEsol.

```
CdSnHg2
1.0
4.286 0.000 0.000
0.000 4.286 0.000
0.000 0.000 21.120
Cd Sn Hg
4 4 8
direct
0.000 0.000 0.000 Cd
0.000 0.500 0.250 Cd
0.500 0.000 0.750 Cd
0.500 0.500 0.500 Cd
0.000 0.000 0.500 Sn
0.000 0.500 0.750 Sn
0.500 0.000 0.250 Sn
0.500 0.500 0.000 Sn
0.244 0.250 0.125 Hg
0.250 0.744 0.375 Hg
0.250 0.756 0.875 Hg
0.256 0.250 0.625 Hg
0.744 0.750 0.625 Hg
0.750 0.244 0.875 Hg
0.750 0.256 0.375 Hg
0.756 0.750 0.125 Hg
```

volume: 388.0 Å³ per cell
total magnetization: 0.0 Bohr magnetons per cell
space-group type: I-42d, No. 122

***

--- Q ---
CdSnHg2: relaxed, GGA-PBEsol.

```
CdSnHg2
1.0
7.195 0.000 0.000
0.000 7.195 0.000
0.000 0.000 7.195
Cd Sn Hg
4 4 8
direct
0.000 0.000 0.000 Cd
0.000 0.500 0.500 Cd
0.500 0.000 0.500 Cd
0.500 0.500 0.000 Cd
0.000 0.000 0.500 Sn
0.000 0.500 0.000 Sn
0.500 0.000 0.000 Sn
0.500 0.500 0.500 Sn
0.250 0.250 0.250 Hg
0.250 0.250 0.750 Hg
0.250 0.750 0.250 Hg
0.250 0.750 0.750 Hg
0.750 0.250 0.250 Hg
0.750 0.250 0.750 Hg
0.750 0.750 0.250 Hg
0.750 0.750 0.750 Hg
```

volume: 372.5 Å³ per cell
total magnetization: 0.0 Bohr magnetons per cell
space-group type: Fm-3m, No. 225

***

Verdict on stability: P comes out on top.